[1]
DFT (PBE) results for an optimized crystal structure of Hf2CuSiN.

Cell and atoms, written as extended XYZ:
```
5
Lattice="-1.313 4.635 -0.547 -2.001 -0.960 -3.327 -3.987 -0.818 2.635" Properties=species:S:1:pos:R:3 pbc="T T T"
Hf -0.656 2.318 -0.274
Hf -1.994 -0.409 1.317
N -3.651 1.429 -0.620
Si -1.001 -0.480 -1.664
Cu 0.000 0.000 0.000
```

energy: -0.4697 Ry/atom
M_tot: 0.0 μB per cell
D(E_F): 3.90 states/eV per cell
crystal system: tetragonal


[2]
DFT (PBE) results for an optimized crystal structure of Ce3Zn8Ir.

Cell and atoms, written as extended XYZ:
```
12
Lattice="5.353 0.000 0.000 2.677 4.636 0.000 2.677 1.545 8.739" Properties=species:S:1:pos:R:3 pbc="T T T"
Zn 2.677 1.545 3.775
Zn 8.030 4.636 8.206
Zn 5.353 4.630 1.705
Zn 9.339 5.392 5.899
Zn 6.686 2.321 1.705
Zn 4.020 2.321 1.705
Zn 8.030 3.125 5.899
Zn 6.721 5.392 5.899
Ce 5.353 3.091 7.645
Ce 5.353 3.091 4.341
Ce 8.030 4.636 0.021
Ir 8.030 4.636 3.450
```

energy: -0.2422 Ry/atom
formation energy from the elements: -2.7 eV per formula unit
M_tot: 1.9 μB per cell
D(E_F): 15.34 states/eV per cell
crystal system: trigonal


[3]
DFT (PBE) results for an optimized crystal structure of SrCaTe2.

Cell and atoms, written as extended XYZ:
```
4
Lattice="0.000 4.010 4.010 4.010 0.000 4.010 4.010 4.010 0.000" Properties=species:S:1:pos:R:3 pbc="T T T"
Sr 4.010 4.010 4.010
Te 6.014 6.014 6.014
Te 2.005 2.005 2.005
Ca 0.000 0.000 0.000
```

energy: -0.2872 Ry/atom
M_tot: 0.0 μB per cell
D(E_F): 0.00 states/eV per cell
crystal system: cubic
ΔE to the lowest computed polymorph: 277.1 meV per atom


[4]
DFT (PBE) results for an optimized crystal structure of Na2CdSbO4.

Cell and atoms, written as extended XYZ:
```
16
Lattice="6.754 -0.014 -0.028 -0.016 6.763 -0.020 -3.353 -3.356 4.793" Properties=species:S:1:pos:R:3 pbc="T T T"
O 0.230 0.219 2.343
O 0.240 3.129 2.360
O 3.156 3.174 2.405
O 1.723 1.740 4.451
O 1.664 1.654 0.294
O 5.239 1.626 0.060
O 3.145 0.263 2.386
O -1.855 1.767 4.684
Sb 1.692 1.696 2.372
Sb 3.384 3.391 4.744
Na 3.369 3.374 -0.024
Na -1.676 -1.678 2.397
Na 1.700 -1.685 2.382
Na 0.024 -3.363 4.779
Cd 3.393 0.011 4.755
Cd 5.070 1.689 2.358
```

energy: -0.3550 Ry/atom
M_tot: 0.0 μB per cell
crystal system: monoclinic


[5]
DFT (PBE) results for an optimized crystal structure of Nd6PdRu2.

Cell and atoms, written as extended XYZ:
```
9
Lattice="4.391 0.000 0.000 -2.196 6.838 -1.205 0.000 -4.387 9.446" Properties=species:S:1:pos:R:3 pbc="T T T"
Nd 0.000 -0.698 1.804
Nd 2.196 3.148 6.436
Nd 0.000 2.755 3.598
Nd 2.196 2.551 0.611
Nd 0.000 -0.100 7.629
Nd 2.196 -0.304 4.642
Ru 2.196 -1.969 7.030
Ru 0.000 4.420 1.210
Pd 0.000 -2.193 4.723
```

energy: -0.4458 Ry/atom
formation energy from the elements: -2.2 eV per formula unit
M_tot: 0.0 μB per cell
D(E_F): 7.93 states/eV per cell
crystal system: monoclinic
ΔE to the lowest computed polymorph: 45.6 meV per atom


[6]
DFT (PBE) results for an optimized crystal structure of Sr2AlTl2.

Cell and atoms, written as extended XYZ:
```
10
Lattice="-1.576 6.053 4.775 -4.127 -4.779 4.696 4.316 -1.036 2.738" Properties=species:S:1:pos:R:3 pbc="T T T"
Sr -2.317 -0.403 8.466
Sr 0.930 0.640 3.743
Sr -0.498 2.925 6.858
Sr -0.889 -2.688 5.350
Tl -1.582 3.204 3.705
Tl -4.121 -1.930 5.765
Tl -3.995 2.156 7.112
Tl -1.709 -0.882 2.359
Al -2.852 0.637 4.735
Al 0.000 0.000 0.000
```

energy: -0.1886 Ry/atom
formation energy from the elements: -1.0 eV per formula unit
M_tot: 0.0 μB per cell
D(E_F): 9.65 states/eV per cell
crystal system: tetragonal
ΔE to the lowest computed polymorph: 0.0 meV per atom


V for the records above, in order: 94.0, 216.9, 128.9, 217.9, 260.4, 322.9 Å³ per cell